(1)
4
Lattice="2.433 -5.314 0.000 2.433 5.314 0.000 0.000 0.000 4.029" Properties=species:S:1:pos:R:3 comment="AlReTe2 meta-GGA SCAN PBEsol geometry" e_form_raw_ev_per_atom=0.297 n_ef_per_ev_atom=0.7779 sg="Cmmm, No. 65" final_energy_ev_per_atom=-38.0413 pbc="T T T"
Al 0.000 0.000 0.000
Re 2.433 0.000 0.000
Te 2.433 1.702 2.015
Te 2.433 -1.702 2.015

(2)
4
Lattice="-1.577 2.263 6.008 1.577 -2.263 6.008 1.577 2.263 -6.008" Properties=species:S:1:pos:R:3 comment="AlReTe2 meta-GGA SCAN PBEsol geometry" e_form_raw_ev_per_atom=0.462 n_ef_per_ev_atom=0.5626 sg="Imm2, No. 44" final_energy_ev_per_atom=-37.8761 pbc="T T T"
Al 0.000 0.000 0.000
Re 1.577 0.000 2.265
Te 0.000 0.000 4.479
Te 0.000 2.263 1.808

(3)
4
Lattice="4.503 0.000 0.000 0.000 4.503 0.000 0.000 0.000 3.359" Properties=species:S:1:pos:R:3 comment="Al2ReTe meta-GGA SCAN PBEsol geometry" e_form_raw_ev_per_atom=0.414 n_ef_per_ev_atom=0.5836 sg="P4/mmm, No. 123" final_energy_ev_per_atom=-30.5489 pbc="T T T"
Al 0.000 2.251 0.000
Al 2.251 0.000 0.000
Re 0.000 0.000 1.680
Te 2.251 2.251 1.680

(4)
4
Lattice="3.345 0.000 0.000 0.000 4.405 0.000 0.000 0.000 4.619" Properties=species:S:1:pos:R:3 comment="Al2ReTe meta-GGA SCAN PBEsol geometry" e_form_raw_ev_per_atom=0.483 n_ef_per_ev_atom=0.5386 sg="Pmmm, No. 47" final_energy_ev_per_atom=-30.4802 pbc="T T T"
Al 0.000 0.000 0.000
Al 1.672 0.000 2.309
Re 0.000 2.202 2.309
Te 1.672 2.202 0.000

(5)
4
Lattice="-2.027 2.027 3.979 2.027 -2.027 3.979 2.027 2.027 -3.979" Properties=species:S:1:pos:R:3 comment="Al2TlRe meta-GGA SCAN PBEsol geometry" n_ef_per_ev_atom=0.1596 e_above_lowest_polymorph_mev_per_atom=68 sg="I4/mmm, No. 139" formation_enthalpy_0k_ev_per_atom=0.324 final_energy_ev_per_atom=-39.4157 pbc="T T T"
Al 2.027 0.000 1.989
Al 0.000 2.027 1.989
Tl 0.000 0.000 0.000
Re 0.000 0.000 3.979

(6)
4
Lattice="0.000 3.213 3.213 3.213 0.000 3.213 3.213 3.213 0.000" Properties=species:S:1:pos:R:3 comment="Al2TlRe meta-GGA SCAN PBEsol geometry" n_ef_per_ev_atom=0.5829 e_above_lowest_polymorph_mev_per_atom=324 sg="Fm-3m, No. 225" formation_enthalpy_0k_ev_per_atom=0.580 final_energy_ev_per_atom=-39.1598 pbc="T T T"
Al 1.607 1.607 1.607
Al 4.820 4.820 4.820
Tl 0.000 0.000 0.000
Re 3.213 3.213 3.213

(7)
4
Lattice="1.712 -2.365 0.000 1.712 2.365 0.000 0.000 0.000 10.311" Properties=species:S:1:pos:R:3 comment="AlTl2Re meta-GGA SCAN PBEsol geometry" n_ef_per_ev_atom=0.5326 e_above_lowest_polymorph_mev_per_atom=0 sg="Cmm2, No. 35" formation_enthalpy_0k_ev_per_atom=0.520 final_energy_ev_per_atom=-55.3718 pbc="T T T"
Al 0.000 0.000 0.000
Tl 0.000 0.000 5.991
Tl 1.712 0.000 2.670
Re 1.712 0.000 8.453

(8)
4
Lattice="2.692 -4.106 0.000 2.692 4.106 0.000 0.000 0.000 2.932" Properties=species:S:1:pos:R:3 comment="AlTlRe2 meta-GGA SCAN PBEsol geometry" n_ef_per_ev_atom=0.8889 e_above_lowest_polymorph_mev_per_atom=668 sg="Cmmm, No. 65" formation_enthalpy_0k_ev_per_atom=0.826 final_energy_ev_per_atom=-54.7501 pbc="T T T"
Al 0.000 0.000 0.000
Tl 2.692 0.000 0.000
Re 1.346 2.053 1.466
Re 1.346 -2.053 1.466

(9)
4
Lattice="1.413 0.816 9.463 -1.413 0.816 9.463 0.000 -1.631 9.463" Properties=species:S:1:pos:R:3 comment="AlTlRe2 meta-GGA SCAN PBEsol geometry" n_ef_per_ev_atom=0.7202 e_above_lowest_polymorph_mev_per_atom=420 sg="R-3m, No. 166" formation_enthalpy_0k_ev_per_atom=0.578 final_energy_ev_per_atom=-54.9980 pbc="T T T"
Al 0.000 0.000 0.000
Tl 0.000 0.000 14.194
Re 0.000 0.000 7.344
Re 0.000 0.000 21.044

(10)
4
Lattice="2.987 0.000 0.000 0.000 2.939 0.000 -1.489 0.000 8.016" Properties=species:S:1:pos:R:3 comment="AlTlRe2 meta-GGA SCAN PBEsol geometry" n_ef_per_ev_atom=0.4935 e_above_lowest_polymorph_mev_per_atom=0 sg="Pm, No. 6" formation_enthalpy_0k_ev_per_atom=0.159 final_energy_ev_per_atom=-55.4177 pbc="T T T"
Al 0.000 0.000 0.000
Tl 0.007 1.470 2.621
Re 0.005 1.470 6.343
Re 1.498 0.000 4.847

(11)
4
Lattice="0.000 3.181 3.181 3.181 0.000 3.181 3.181 3.181 0.000" Properties=species:S:1:pos:R:3 comment="AlTlRe2 meta-GGA SCAN PBEsol geometry" n_ef_per_ev_atom=0.7736 e_above_lowest_polymorph_mev_per_atom=590 sg="F-43m, No. 216" formation_enthalpy_0k_ev_per_atom=0.748 final_energy_ev_per_atom=-54.8280 pbc="T T T"
Al 0.000 0.000 0.000
Tl 1.591 1.591 1.591
Re 3.181 3.181 3.181
Re 4.772 4.772 4.772

(12)
4
Lattice="1.453 0.839 9.176 -1.453 0.839 9.176 0.000 -1.677 9.176" Properties=species:S:1:pos:R:3 comment="AlTlRe2 meta-GGA SCAN PBEsol geometry" n_ef_per_ev_atom=0.4639 e_above_lowest_polymorph_mev_per_atom=119 sg="R3m, No. 160" formation_enthalpy_0k_ev_per_atom=0.277 final_energy_ev_per_atom=-55.2989 pbc="T T T"
Al 0.000 0.000 0.000
Tl 0.000 0.000 20.935
Re 0.000 0.000 7.101
Re 0.000 0.000 14.266

(13)
4
Lattice="3.449 0.000 0.000 0.000 3.449 0.000 0.000 0.000 5.645" Properties=species:S:1:pos:R:3 comment="Al2TlRe meta-GGA SCAN PBEsol geometry" n_ef_per_ev_atom=0.1121 e_above_lowest_polymorph_mev_per_atom=0 sg="P4mm, No. 99" formation_enthalpy_0k_ev_per_atom=0.256 final_energy_ev_per_atom=-39.4837 pbc="T T T"
Al 0.000 0.000 0.000
Al 1.725 1.725 1.461
Tl 1.725 1.725 4.196
Re 0.000 0.000 2.496

(14)
4
Lattice="3.647 0.000 0.000 0.000 3.647 0.000 0.000 0.000 5.710" Properties=species:S:1:pos:R:3 comment="AlTl2Re meta-GGA SCAN PBEsol geometry" n_ef_per_ev_atom=0.2340 e_above_lowest_polymorph_mev_per_atom=355 sg="P4/mmm, No. 123" formation_enthalpy_0k_ev_per_atom=0.875 final_energy_ev_per_atom=-55.0169 pbc="T T T"
Al 0.000 0.000 0.000
Tl 1.824 1.824 1.442
Tl 1.824 1.824 4.268
Re 0.000 0.000 2.855